NaPbSeI (PBE-GGA, optimized geometry); total moment = 0.000 μB/atom; final energy = -3.3854 eV/atom
1.0
4.425 0.000 0.000
2.212 3.832 0.000
2.212 1.277 7.657
Pb Na Se I
1 1 1 1
Direct
0.592 0.592 0.224
0.116 0.116 0.653
0.859 0.859 0.424
0.363 0.363 0.911